Compound: DyThC2
Source: Alexandria via LeMat-Bulk
Functional: PBE-GGA
Structure: optimized geometry

Lattice parameters (Å, degrees): 3.7083 3.7083 17.9206 90.00 90.00 120.00
Space group R-3m (No. 166, hexagonal axes)
Inequivalent atoms, fractional coordinates:
Dy: 0.0000 0.0000 0.0000
Th: 0.0000 0.0000 0.5000
C: 0.0000 0.0000 0.2494

The calculation puts the distance to the lowest polymorph of the same formula at 0 meV/atom.

---

Compound: Dy2ThTlC
Source: Alexandria via LeMat-Bulk
Functional: PBE-GGA
Structure: optimized geometry

Lattice parameters (Å, degrees): 4.9588 4.9588 5.0525 90.00 90.00 90.00
Space group P4/mmm (No. 123)
Inequivalent atoms, fractional coordinates:
Dy: 0.0000 0.5000 0.0000
Th: 0.0000 0.0000 0.5000
Tl: 0.5000 0.5000 0.5000
C: 0.0000 0.0000 0.0000

As for the raw total energy: -6.01 eV/atom.

---

Compound: DyTh2WC4
Source: Alexandria via LeMat-Bulk
Functional: PBE-GGA
Structure: optimized geometry

Lattice parameters (Å, degrees): 3.5938 12.1356 13.0066 90.00 90.00 90.00
Space group Cmcm (No. 63)
Inequivalent atoms, fractional coordinates:
Dy: 0.0000 0.1128 0.2500
Th: 0.0000 0.3658 0.0366
W: 0.0000 0.1608 0.7500
C: 0.0000 0.0000 0.0000
C: 0.0000 0.2664 0.6366
C: 0.0000 0.4272 0.2500

As for the raw total energy: -8.68 eV/atom.

---

Compound: Dy2ThWC4
Source: Alexandria via LeMat-Bulk
Functional: PBE-GGA
Structure: optimized geometry

Lattice parameters (Å, degrees): 3.5249 12.2015 12.3047 90.00 90.00 90.00
Space group Cmcm (No. 63)
Inequivalent atoms, fractional coordinates:
Dy: 0.0000 0.1306 0.0390
Th: 0.0000 0.3982 0.2500
W: 0.0000 0.3384 0.7500
C: 0.0000 0.0684 0.2500
C: 0.0000 0.2354 0.6304
C: 0.0000 0.5000 0.0000

As for the raw total energy: -8.41 eV/atom.

---

Compound: Dy2TiC
Source: Alexandria via LeMat-Bulk
Functional: PBE-GGA
Structure: optimized geometry

Lattice parameters (Å, degrees): 3.4510 3.4510 26.8534 90.00 90.00 120.00
Space group R-3m (No. 166, hexagonal axes)
Inequivalent atoms, fractional coordinates:
Dy: 0.0000 0.0000 0.1156
Ti: 0.0000 0.0000 0.0000
C: 0.0000 0.0000 0.5000

As for the raw total energy: -6.36 eV/atom.

---

Compound: Dy4TlC2
Source: Alexandria via LeMat-Bulk
Functional: PBE-GGA
Structure: optimized geometry

Lattice parameters (Å, degrees): 3.6047 3.6047 43.2007 90.00 90.00 120.00
Space group R-3m (No. 166, hexagonal axes)
Inequivalent atoms, fractional coordinates:
Dy: 0.0000 0.0000 0.1240
Dy: 0.0000 0.0000 0.2717
Tl: 0.0000 0.0000 0.0000
C: 0.0000 0.0000 0.4278

As for the raw total energy: -5.94 eV/atom.

---

Compound: DyTlC
Source: Alexandria via LeMat-Bulk
Functional: PBE-GGA
Structure: optimized geometry

Lattice parameters (Å, degrees): 3.6945 4.3720 17.9378 90.00 90.00 90.00
Space group Immm (No. 71)
Inequivalent atoms, fractional coordinates:
Dy: 0.0000 0.0000 0.1001
Tl: 0.0000 0.0000 0.2986
C: 0.0000 0.3548 0.0000

As for the raw total energy: -5.23 eV/atom.

---

Compound: Dy8Tl2C3
Source: Alexandria via LeMat-Bulk
Functional: PBE-GGA
Structure: optimized geometry

Lattice parameters (Å, degrees): 15.1545 7.2295 6.3589 90.00 105.89 90.00
Space group C2/m (No. 12)
Inequivalent atoms, fractional coordinates:
Dy: 0.0879 0.2416 0.3856
Dy: 0.0969 0.0000 0.8947
Dy: 0.1050 0.5000 0.9508
Tl: 0.2439 0.5000 0.6541
C: 0.0000 0.0000 0.5000
C: 0.0000 0.2546 0.0000

As for the raw total energy: -5.54 eV/atom.

---

Compound: Dy4TlC
Source: Alexandria via LeMat-Bulk
Functional: PBE-GGA
Structure: optimized geometry

Lattice parameters (Å, degrees): 15.1497 6.1011 6.9070 90.00 106.41 90.00
Space group C2/c (No. 15)
Inequivalent atoms, fractional coordinates:
Dy: 0.1019 0.0859 0.4448
Dy: 0.1916 0.4317 0.1628
Tl: 0.0000 0.4043 0.7500
C: 0.2500 0.2500 0.5000

As for the raw total energy: -5.20 eV/atom.

---

Compound: Dy2Tl2C
Source: Alexandria via LeMat-Bulk
Functional: PBE-GGA
Structure: optimized geometry

Lattice parameters (Å, degrees): 3.6021 3.6021 32.0744 90.00 90.00 120.00
Space group R-3m (No. 166, hexagonal axes)
Inequivalent atoms, fractional coordinates:
Dy: 0.0000 0.0000 0.1253
Tl: 0.0000 0.0000 0.3738
C: 0.0000 0.0000 0.5000

As for the raw total energy: -4.91 eV/atom.

---

Compound: Dy5Tl2C2
Source: Alexandria via LeMat-Bulk
Functional: PBE-GGA
Structure: optimized geometry

Lattice parameters (Å, degrees): 4.8287 4.8287 9.7084 90.00 90.00 90.00
Space group P4/mmm (No. 123)
Inequivalent atoms, fractional coordinates:
Dy: 0.0000 0.0000 0.0000
Dy: 0.0000 0.5000 0.2792
Tl: 0.5000 0.5000 0.0000
Tl: 0.5000 0.5000 0.5000
C: 0.0000 0.0000 0.2398

As for the raw total energy: -5.29 eV/atom.

---

Compound: Dy3TlC
Source: Alexandria via LeMat-Bulk
Functional: PBE-GGA
Structure: optimized geometry

Lattice parameters (Å, degrees): 4.9236 4.9236 4.9236 90.00 90.00 90.00
Space group Pm-3m (No. 221)
Inequivalent atoms, fractional coordinates:
Dy: 0.0000 0.0000 0.5000
Tl: 0.5000 0.5000 0.5000
C: 0.0000 0.0000 0.0000

As for the raw total energy: -5.53 eV/atom.

---

Compound: Dy3TmC8
Source: Alexandria via LeMat-Bulk
Functional: PBE-GGA
Structure: optimized geometry

Lattice parameters (Å, degrees): 7.8205 8.9954 6.2375 90.00 125.67 90.00
Space group Cm (No. 8)
Inequivalent atoms, fractional coordinates:
Dy: 0.0000 0.0000 0.0000
Dy: 0.1068 0.2280 0.5625
Tm: 0.0501 0.5000 0.0828
C: 0.0885 0.5000 0.7007
C: 0.2841 0.1605 0.0682
C: 0.3929 0.5000 0.5234
C: 0.3942 0.0000 0.6241
C: 0.4021 0.2542 0.0559
C: 0.4216 0.5000 0.3324

As for the raw total energy: -7.57 eV/atom.

---

Compound: Dy2Tm2C3
Source: Alexandria via LeMat-Bulk
Functional: PBE-GGA
Structure: optimized geometry

Lattice parameters (Å, degrees): 12.0931 3.5830 6.2731 90.00 102.52 90.00
Space group C2/m (No. 12)
Inequivalent atoms, fractional coordinates:
Dy: 0.1261 0.0000 0.3864
Tm: 0.1448 0.5000 0.8530
C: 0.0000 0.5000 0.5000
C: 0.2445 0.5000 0.2411

As for the raw total energy: -6.78 eV/atom.

---

Compound: DyTm3C8
Source: Alexandria via LeMat-Bulk
Functional: PBE-GGA
Structure: optimized geometry

Lattice parameters (Å, degrees): 7.9942 9.6585 6.0222 90.00 131.50 90.00
Space group Cm (No. 8)
Inequivalent atoms, fractional coordinates:
Dy: 0.0000 0.0000 0.0000
Tm: 0.0110 0.5000 0.9995
Tm: 0.4646 0.2499 0.4996
C: 0.1059 0.0000 0.6725
C: 0.2556 0.3352 0.9994
C: 0.3890 0.2559 0.9989
C: 0.3896 0.5000 0.4948
C: 0.3941 0.0000 0.5042
C: 0.4328 0.0000 0.3263

As for the raw total energy: -7.53 eV/atom.

---

Compound: Dy3TmC
Source: Alexandria via LeMat-Bulk
Functional: PBE-GGA
Structure: optimized geometry

Lattice parameters (Å, degrees): 5.0408 5.0408 5.0408 90.00 90.00 90.00
Space group Pm-3m (No. 221)
Inequivalent atoms, fractional coordinates:
Dy: 0.0000 0.0000 0.5000
Tm: 0.5000 0.5000 0.5000
C: 0.0000 0.0000 0.0000

As for the raw total energy: -5.52 eV/atom.

---

Compound: DyTm3C2
Source: Alexandria via LeMat-Bulk
Functional: PBE-GGA
Structure: optimized geometry

Lattice parameters (Å, degrees): 7.1060 7.1060 18.0790 90.00 90.00 120.00
Space group R-3m (No. 166, hexagonal axes)
Inequivalent atoms, fractional coordinates:
Dy: 0.0000 0.0000 0.2425
Tm: 0.0008 0.5004 0.7606
C: 0.0000 0.0000 0.5000
C: 0.0000 0.5000 0.5000

As for the raw total energy: -6.41 eV/atom.

---

Compound: Dy4Tm2C
Source: Alexandria via LeMat-Bulk
Functional: PBE-GGA
Structure: optimized geometry

Lattice parameters (Å, degrees): 4.8467 4.8467 17.4724 90.00 90.00 90.00
Space group I4/mmm (No. 139)
Inequivalent atoms, fractional coordinates:
Dy: 0.0000 0.0000 0.1360
Dy: 0.0000 0.5000 0.0000
Tm: 0.0000 0.0000 0.3307
C: 0.0000 0.0000 0.0000

As for the raw total energy: -5.07 eV/atom.

---

Compound: DyTm3C
Source: Alexandria via LeMat-Bulk
Functional: PBE-GGA
Structure: optimized geometry

Lattice parameters (Å, degrees): 4.9697 4.9697 4.9697 90.00 90.00 90.00
Space group Pm-3m (No. 221)
Inequivalent atoms, fractional coordinates:
Dy: 0.0000 0.0000 0.0000
Tm: 0.0000 0.5000 0.5000
C: 0.5000 0.5000 0.5000

As for the raw total energy: -5.49 eV/atom.

---

Compound: Dy2Tm4C
Source: Alexandria via LeMat-Bulk
Functional: PBE-GGA
Structure: optimized geometry

Lattice parameters (Å, degrees): 4.7590 4.7590 17.7249 90.00 90.00 90.00
Space group I4/mmm (No. 139)
Inequivalent atoms, fractional coordinates:
Dy: 0.0000 0.0000 0.1751
Tm: 0.0000 0.0000 0.3672
Tm: 0.0000 0.5000 0.0000
C: 0.0000 0.0000 0.5000

As for the raw total energy: -5.07 eV/atom.

---

V? In order: 213.4, 124.2, 567.3, 529.2, 277.0, 486.1, 289.7, 670.0, 612.4, 360.4, 226.4, 119.4, 356.5, 265.3, 348.3, 128.1, 790.6, 410.4, 122.7, 401.4 Å³/cell.
N(E_F)? In order: 20.2, 2.6, 12.9, 12.5, 12.7, 12.7, 7.1, 22.0, 26.0, 9.0, 8.7, 1.4, 5.8, 4.0, 10.8, 6.1, 22.4, 19.5, 5.3, 20.7 states/eV/cell.